Record 1
Below is a relaxed structure of Ba4LaMn, with properties calculated at the GGA-PBE level.

Cell lengths 7.4709, 7.4709, 7.4709 Å; angles 60.00, 60.00, 60.00 degrees
Last column: magnetic moment on the atom in μB.
Element x y z (fractional)
Ba 0.8757 0.3748 0.3748  -0.11
Ba 0.3748 0.3748 0.8757  -0.11
Ba 0.3748 0.8757 0.3748  -0.11
Ba 0.3748 0.3748 0.3748  -0.11
La 0.7500 0.7500 0.7500  -0.35
Mn 0.0000 0.0000 0.0000  4.43



Record 2
Below is a relaxed structure of BaLa2Mn, with properties calculated at the GGA-PBE level.

Cell lengths 7.1028, 7.1028, 7.1028 Å; angles 148.98, 128.94, 60.96 degrees
Last column: magnetic moment on the atom in μB.
Element x y z (fractional)
Ba 0.2500 0.7500 0.5000  0.06
La 0.9532 0.9532 0.0000  0.14
La 0.5468 0.5468 0.0000  0.14
Mn 0.7500 0.2500 0.5000  -3.67



no.,E_form (eV per atom),density of states at the Fermi level (states/eV per cell),calculated volume (A^3/atom)
1,0.7537,12.1,49.1
2,0.3229,5.8,35.6